Computed, not measured: crystalline SrDyAgSe3 at its relaxed geometry at the PBE-GGA level of DFT.

Summary:
volume = 316 Å³ per cell
size of the total moment = 0.00 μB/f.u.
total DFT energy (no corrections) = -4.7755 eV/atom
ρ = 6257 kg/m³

Cell and atoms, written as CIF:
```
data_SrDyAgSe3
_space_group_name_H-M_alt 'P 1 21/m 1'
_space_group_IT_number 11
_cell_length_a 7.9697
_cell_length_b 4.1355
_cell_length_c 9.9809
_cell_angle_alpha 90.00
_cell_angle_beta 106.31
_cell_angle_gamma 90.00
loop_
_space_group_symop_operation_xyz
'x,y,z'
'-x,-y,-z'
'-x,y+1/2,-z'
'x,-y+1/2,z'
loop_
_atom_site_label
_atom_site_type_symbol
_atom_site_fract_x
_atom_site_fract_y
_atom_site_fract_z
Sr1 Sr 0.2479 0.2500 0.2894
Dy1 Dy 0.3095 0.7500 0.8409
Ag1 Ag 0.0929 0.2500 0.5916
Se1 Se 0.0620 0.2500 0.8478
Se2 Se 0.2889 0.7500 0.5422
Se3 Se 0.4316 0.7500 0.1401
```

Computed, not measured: crystalline SrDyAgTeSe2 at its relaxed geometry at the PBE-GGA level of DFT.

Summary:
volume = 670 Å³ per cell
size of the total moment = 0.00 μB/f.u.
total DFT energy (no corrections) = -4.5886 eV/atom
ρ = 6380 kg/m³

Cell and atoms, written as CIF:
```
data_SrDyAgTeSe2
_space_group_name_H-M_alt 'C m c m'
_space_group_IT_number 63
_space_group_name_Hall '-C 2c 2'
_cell_length_a 4.1667
_cell_length_b 14.5956
_cell_length_c 11.0169
_cell_angle_alpha 90.00
_cell_angle_beta 90.00
_cell_angle_gamma 90.00
loop_
_atom_site_label
_atom_site_type_symbol
_atom_site_fract_x
_atom_site_fract_y
_atom_site_fract_z
Sr1 Sr 0.0000 0.2197 0.2500
Dy1 Dy 0.0000 0.0000 0.0000
Ag1 Ag 0.0000 0.4781 0.7500
Te1 Te 0.0000 0.1034 0.7500
Se1 Se 0.0000 0.3680 0.5602
```

Computed, not measured: crystalline DyAgTeSe at its relaxed geometry at the PBE-GGA level of DFT.

Summary:
volume = 216 Å³ per cell
size of the total moment = 0.00 μB/f.u.
total DFT energy (no corrections) = -4.5772 eV/atom
distance to the lowest polymorph of the same formula = 0.0000 eV/atom
ρ = 7345 kg/m³

Cell and atoms, written as CIF:
```
data_DyAgTeSe
_space_group_name_H-M_alt 'P 1 21 1'
_space_group_IT_number 4
_cell_length_a 4.4799
_cell_length_b 6.9410
_cell_length_c 6.9357
_cell_angle_alpha 90.00
_cell_angle_beta 90.89
_cell_angle_gamma 90.00
loop_
_space_group_symop_operation_xyz
'x,y,z'
'-x,y+1/2,-z'
loop_
_atom_site_label
_atom_site_type_symbol
_atom_site_fract_x
_atom_site_fract_y
_atom_site_fract_z
Dy1 Dy 0.1957 0.0000 0.2756
Ag1 Ag 0.0025 0.4888 0.2471
Te1 Te 0.3018 0.2888 0.9503
Se1 Se 0.2828 0.6967 0.5469
```

Computed, not measured: crystalline DyAgTeSe at its relaxed geometry at the PBE-GGA level of DFT.

Summary:
volume = 430 Å³ per cell
size of the total moment = 0.00 μB/f.u.
total DFT energy (no corrections) = -4.5746 eV/atom
distance to the lowest polymorph of the same formula = 0.0027 eV/atom
ρ = 7371 kg/m³

Cell and atoms, written as CIF:
```
data_DyAgTeSe
_space_group_name_H-M_alt 'C m m 2'
_space_group_IT_number 35
_cell_length_a 9.4150
_cell_length_b 10.2415
_cell_length_c 4.4569
_cell_angle_alpha 90.00
_cell_angle_beta 90.00
_cell_angle_gamma 90.00
loop_
_space_group_symop_operation_xyz
'x,y,z'
'-x,-y,z'
'-x,y,z'
'x,-y,z'
'x+1/2,y+1/2,z'
'-x+1/2,-y+1/2,z'
'-x+1/2,y+1/2,z'
'x+1/2,-y+1/2,z'
loop_
_atom_site_label
_atom_site_type_symbol
_atom_site_fract_x
_atom_site_fract_y
_atom_site_fract_z
Dy1 Dy 0.0000 0.0000 0.0000
Dy2 Dy 0.0000 0.5000 0.3785
Ag1 Ag 0.2500 0.2500 0.1519
Te1 Te 0.0000 0.2071 0.4908
Se1 Se 0.2006 0.5000 0.9028
```

Computed, not measured: crystalline Dy2Ag2Te3Se at its relaxed geometry at the PBE-GGA level of DFT.

Summary:
volume = 450 Å³ per cell
size of the total moment = 0.00 μB/f.u.
total DFT energy (no corrections) = -4.4591 eV/atom
ρ = 7393 kg/m³

Cell and atoms, written as CIF:
```
data_Dy2Ag2Te3Se
_space_group_name_H-M_alt 'C 1 m 1'
_space_group_IT_number 8
_cell_length_a 9.7129
_cell_length_b 10.1292
_cell_length_c 4.5773
_cell_angle_alpha 90.00
_cell_angle_beta 90.56
_cell_angle_gamma 90.00
loop_
_space_group_symop_operation_xyz
'x,y,z'
'x,-y,z'
'x+1/2,y+1/2,z'
'x+1/2,-y+1/2,z'
loop_
_atom_site_label
_atom_site_type_symbol
_atom_site_fract_x
_atom_site_fract_y
_atom_site_fract_z
Dy1 Dy 0.0000 0.0000 0.0000
Dy2 Dy 0.0272 0.5000 0.3755
Ag1 Ag 0.2722 0.2477 0.2055
Te1 Te 0.0213 0.2948 0.8927
Te2 Te 0.2188 0.0000 0.4879
Se1 Se 0.3161 0.5000 0.4735
```

Computed, not measured: crystalline DyYAg2Se4 at its relaxed geometry at the PBE-GGA level of DFT.

Summary:
volume = 395 Å³ per cell
size of the total moment = 0.00 μB/f.u.
total DFT energy (no corrections) = -5.0614 eV/atom
ρ = 6582 kg/m³

Cell and atoms, written as CIF:
```
data_DyYAg2Se4
_space_group_name_H-M_alt 'C m m 2'
_space_group_IT_number 35
_cell_length_a 9.5642
_cell_length_b 9.5667
_cell_length_c 4.3179
_cell_angle_alpha 90.00
_cell_angle_beta 90.00
_cell_angle_gamma 90.00
loop_
_space_group_symop_operation_xyz
'x,y,z'
'-x,-y,z'
'-x,y,z'
'x,-y,z'
'x+1/2,y+1/2,z'
'-x+1/2,-y+1/2,z'
'-x+1/2,y+1/2,z'
'x+1/2,-y+1/2,z'
loop_
_atom_site_label
_atom_site_type_symbol
_atom_site_fract_x
_atom_site_fract_y
_atom_site_fract_z
Dy1 Dy 0.0000 0.0000 0.0000
Y1 Y 0.0000 0.5000 0.4083
Ag1 Ag 0.2500 0.2500 0.2039
Se1 Se 0.0000 0.2017 0.4872
Se2 Se 0.2022 0.5000 0.9205
```

Computed, not measured: crystalline TbDySi2Ag2 at its relaxed geometry at the PBE-GGA level of DFT.

Summary:
volume = 123 Å³ per cell
size of the total moment = 0.00 μB/f.u.
total DFT energy (no corrections) = -4.8410 eV/atom
ρ = 7991 kg/m³

Cell and atoms, written as CIF:
```
data_TbDySi2Ag2
_space_group_name_H-M_alt 'P 3 m 1'
_space_group_IT_number 156
_cell_length_a 4.4028
_cell_length_b 4.4028
_cell_length_c 7.3445
_cell_angle_alpha 90.00
_cell_angle_beta 90.00
_cell_angle_gamma 120.00
loop_
_space_group_symop_operation_xyz
'x,y,z'
'-y,x-y,z'
'-x+y,-x,z'
'-y,-x,z'
'-x+y,y,z'
'x,x-y,z'
loop_
_atom_site_label
_atom_site_type_symbol
_atom_site_fract_x
_atom_site_fract_y
_atom_site_fract_z
Tb1 Tb 0.0000 0.0000 0.0000
Dy1 Dy 0.0000 0.0000 0.4996
Si1 Si 0.3333 0.6667 0.2126
Si2 Si 0.6667 0.3333 0.7100
Ag1 Ag 0.3333 0.6667 0.7728
Ag2 Ag 0.6667 0.3333 0.2789
```

Computed, not measured: crystalline DyAg6Sn at its relaxed geometry at the PBE-GGA level of DFT.

Summary:
volume = 157 Å³ per cell
size of the total moment = 0.00 μB/f.u.
total DFT energy (no corrections) = -3.2936 eV/atom
ρ = 9817 kg/m³

Cell and atoms, written as CIF:
```
data_DyAg6Sn
_space_group_name_H-M_alt 'P m m 2'
_space_group_IT_number 25
_cell_length_a 4.9852
_cell_length_b 5.9989
_cell_length_c 5.2512
_cell_angle_alpha 90.00
_cell_angle_beta 90.00
_cell_angle_gamma 90.00
loop_
_space_group_symop_operation_xyz
'x,y,z'
'-x,-y,z'
'-x,y,z'
'x,-y,z'
loop_
_atom_site_label
_atom_site_type_symbol
_atom_site_fract_x
_atom_site_fract_y
_atom_site_fract_z
Dy1 Dy 0.0000 0.0000 0.0000
Ag1 Ag 0.0000 0.2562 0.4999
Ag2 Ag 0.0000 0.5000 0.0139
Ag3 Ag 0.5000 0.0000 0.6600
Ag4 Ag 0.5000 0.2514 0.1846
Sn1 Sn 0.5000 0.5000 0.6952
```

Computed, not measured: crystalline TbDy2Ag4Sn4 at its relaxed geometry at the PBE-GGA level of DFT.

Summary:
volume = 512 Å³ per cell
size of the total moment = 0.00 μB/f.u.
total DFT energy (no corrections) = -4.2326 eV/atom
ρ = 9021 kg/m³

Cell and atoms, written as CIF:
```
data_TbDy2Ag4Sn4
_space_group_name_H-M_alt 'I m m m'
_space_group_IT_number 71
_space_group_name_Hall '-I 2 2'
_cell_length_a 4.5628
_cell_length_b 7.3452
_cell_length_c 15.2712
_cell_angle_alpha 90.00
_cell_angle_beta 90.00
_cell_angle_gamma 90.00
loop_
_atom_site_label
_atom_site_type_symbol
_atom_site_fract_x
_atom_site_fract_y
_atom_site_fract_z
Tb1 Tb 0.0000 0.0000 0.0000
Dy1 Dy 0.0000 0.5000 0.1272
Ag1 Ag 0.0000 0.3012 0.3285
Sn1 Sn 0.0000 0.0000 0.2145
Sn2 Sn 0.0000 0.1965 0.5000
```

Computed, not measured: crystalline Tb2DyAg4Sn4 at its relaxed geometry at the PBE-GGA level of DFT.

Summary:
volume = 513 Å³ per cell
size of the total moment = 0.00 μB/f.u.
total DFT energy (no corrections) = -4.2393 eV/atom
ρ = 8978 kg/m³

Cell and atoms, written as CIF:
```
data_Tb2DyAg4Sn4
_space_group_name_H-M_alt 'I m m m'
_space_group_IT_number 71
_space_group_name_Hall '-I 2 2'
_cell_length_a 4.5788
_cell_length_b 7.3277
_cell_length_c 15.2875
_cell_angle_alpha 90.00
_cell_angle_beta 90.00
_cell_angle_gamma 90.00
loop_
_atom_site_label
_atom_site_type_symbol
_atom_site_fract_x
_atom_site_fract_y
_atom_site_fract_z
Tb1 Tb 0.0000 0.0000 0.1273
Dy1 Dy 0.0000 0.5000 0.0000
Ag1 Ag 0.0000 0.1990 0.3283
Sn1 Sn 0.0000 0.3025 0.5000
Sn2 Sn 0.0000 0.5000 0.2136
```